The following is a DFT calculation (PBE) of an optimized crystal structure of ErScTeSe.

Computed properties:
As for the formation energy (no corrections): -1.435 eV per atom. Its total energy is -5.815 eV per atom. Its density of states at the Fermi level is 0.324 states/eV/f.u.

a b c (Å): 3.978 3.980 7.469
angles (deg): 90.00 105.43 120.01
Fractional coordinates of all 4 atoms:
Te1 0.973 0.385 0.373
Sc1 0.490 0.143 0.649
Er1 0.115 0.956 0.086
Se1 0.299 0.547 0.861



The following is a DFT calculation (PBE) of an optimized crystal structure of TaFeMo2.

Computed properties:
The formation enthalpy at 0 K is 39 meV per atom. Its total energy is -10.456 eV per atom. Its density of states at the Fermi level is 2.505 states/eV/f.u. The value obtained for the energy above the lowest structure with this stoichiometry is 67.8 meV/atom.

a b c (Å): 4.414 2.715 5.224
angles (deg): 80.45 90.00 90.00
Each line ends with the local moment (μB).
Fractional coordinates of all 4 atoms:
Fe1 0.500 0.757 0.747  2.10
Mo1 0.000 0.002 0.004  -0.06
Ta1 0.000 0.500 0.507  -0.12
Mo2 0.500 0.242 0.243  -0.01



The following is a DFT calculation (PBE) of an optimized crystal structure of LiGeB.

Computed properties:
The formation enthalpy at 0 K is -4 meV per atom. Its total energy is -4.407 eV per atom. Its density of states at the Fermi level is 0.392 states/eV/f.u.

a b c (Å): 3.510 5.212 5.212
angles (deg): 107.65 90.00 90.00
Fractional coordinates of all 6 atoms:
Li1 0.000 0.130 0.870
B1 0.500 0.453 0.817
Ge1 0.000 0.033 0.358
B2 0.500 0.183 0.547
Li2 0.500 0.597 0.403
Ge2 0.000 0.642 0.967



The following is a DFT calculation (PBE) of an optimized crystal structure of Tb5Ag2Pt2.

Computed properties:
The formation enthalpy at 0 K is -695 meV per atom. Its total energy is -5.244 eV per atom. Its density of states at the Fermi level is 7.366 states/eV/f.u.

a b c (Å): 7.876 7.473 8.572
angles (deg): 115.84 90.00 90.00
Fractional coordinates of all 18 atoms:
Tb1 0.500 0.500 0.000
Pt1 0.133 0.631 0.000
Tb2 0.826 0.797 0.256
Pt2 0.867 0.369 0.000
Pt3 0.367 0.131 0.000
Tb3 0.674 0.297 0.256
Pt4 0.633 0.869 0.000
Tb4 0.000 0.000 0.000
Ag1 0.000 0.790 0.580
Tb5 0.674 0.042 0.744
Tb6 0.826 0.542 0.744
Tb7 0.326 0.703 0.744
Ag2 0.500 0.290 0.580
Tb8 0.174 0.203 0.744
Tb9 0.326 0.958 0.256
Ag3 0.000 0.210 0.420
Ag4 0.500 0.710 0.420
Tb10 0.174 0.458 0.256



The following is a DFT calculation (PBE) of an optimized crystal structure of Pm3Sm5Sc2.

Computed properties:
The formation enthalpy at 0 K is 40 meV per atom. Its total energy is -5.011 eV per atom. Its density of states at the Fermi level is 14.229 states/eV/f.u.

a b c (Å): 9.420 9.420 9.415
angles (deg): 106.61 106.74 115.23
Fractional coordinates of all 20 atoms:
Sm1 0.027 0.678 0.454
Sm2 0.478 0.824 0.553
Sm3 0.631 0.881 0.250
Sm4 0.879 0.629 0.750
Pm1 0.775 0.927 0.953
Sc1 0.072 0.023 0.354
Sm5 0.369 0.119 0.750
Pm2 0.823 0.270 0.849
Sm6 0.522 0.176 0.447
Sm7 0.121 0.371 0.250
Sc2 0.928 0.977 0.646
Sm8 0.973 0.322 0.546
Sc3 0.330 0.780 0.853
Pm3 0.177 0.730 0.151
Pm4 0.420 0.473 0.650
Sc4 0.670 0.220 0.147
Pm5 0.580 0.527 0.350
Sm9 0.272 0.426 0.947
Pm6 0.225 0.073 0.047
Sm10 0.728 0.574 0.053



The following is a DFT calculation (PBE) of an optimized crystal structure of Ac2La3HoSb6.

Computed properties:
As for the formation energy (no corrections): -1.207 eV per atom. Its total energy is -5.566 eV per atom. Its density of states at the Fermi level is 1.381 states/eV/f.u.

a b c (Å): 8.051 8.051 8.050
angles (deg): 99.63 99.63 120.00
Fractional coordinates of all 12 atoms:
Sb1 0.234 0.234 0.746
Sb2 0.917 0.597 0.749
Ac1 0.665 0.335 0.000
La1 0.830 0.170 0.500
Sb3 0.083 0.403 0.251
Ac2 0.335 0.665 0.000
Ho1 0.000 0.000 0.000
Sb4 0.403 0.083 0.251
Sb5 0.597 0.917 0.749
Sb6 0.766 0.766 0.254
La2 0.500 0.500 0.500
La3 0.170 0.830 0.500



The following is a DFT calculation (PBE) of an optimized crystal structure of RbNbI2N.

Computed properties:
As for the formation energy (no corrections): -0.472 eV per atom. Its total energy is -4.965 eV per atom. Its density of states at the Fermi level is 1.020 states/eV/f.u. The value obtained for the energy above the lowest structure with this stoichiometry is 0.0 meV/atom.

a b c (Å): 6.047 6.047 4.019
angles (deg): 90.00 90.00 90.00
Each line ends with the local moment (μB).
Fractional coordinates of all 5 atoms:
Nb1 0.000 0.000 0.000  0.89
I1 0.500 0.000 0.000  0.00
I2 0.000 0.500 0.000  0.00
Rb1 0.500 0.500 0.500  0.00
N1 0.000 0.000 0.500  -0.09



The following is a DFT calculation (PBE) of an optimized crystal structure of CaIn2Ga4.

Computed properties:
The formation enthalpy at 0 K is -208 meV per atom. Its total energy is -3.006 eV per atom. Its density of states at the Fermi level is 1.802 states/eV/f.u.

a b c (Å): 6.230 6.250 8.769
angles (deg): 110.88 89.72 90.00
Fractional coordinates of all 14 atoms:
In1 0.565 0.615 0.356
Ga1 0.252 0.170 0.848
Ga2 0.748 0.830 0.152
Ga3 0.453 0.114 0.322
Ga4 0.547 0.886 0.678
In2 0.935 0.259 0.644
Ca1 0.750 0.248 0.000
Ga5 0.248 0.322 0.152
Ga6 0.953 0.209 0.322
Ga7 0.047 0.791 0.678
In3 0.435 0.385 0.644
In4 0.065 0.741 0.356
Ga8 0.752 0.678 0.848
Ca2 0.250 0.752 0.000